Ac3Sm7: relaxed, PBE.

Summary:
* density of states at the Fermi level: 16.1 states/eV/f.u.
* energy: -44.98 eV per cell

Unit cell a=9.875 b=9.875 c=7.448 alpha=101.46 beta=101.46 gamma=31.21
Fractional coordinates of all 10 atoms:
Ac 0.000 0.000 0.000
Ac 0.197 0.197 0.603
Ac 0.803 0.803 0.397
Sm 0.000 0.000 0.500
Sm 0.200 0.200 0.100
Sm 0.400 0.400 0.197
Sm 0.401 0.401 0.700
Sm 0.599 0.599 0.300
Sm 0.600 0.600 0.803
Sm 0.800 0.800 0.900



LaCoRe3: relaxed, PBE.

Summary:
* density of states at the Fermi level: 8.4 states/eV/f.u.
* energy above the lowest structure with this stoichiometry: 0 meV/atom
* energy: -43.62 eV per cell

Unit cell a=4.579 b=4.579 c=4.579 alpha=90.00 beta=90.00 gamma=90.00
Fractional coordinates of all 5 atoms:
La 0.000 0.000 0.000
Co 0.500 0.500 0.500
Re 0.000 0.500 0.500
Re 0.500 0.000 0.500
Re 0.500 0.500 0.000



PuTh2Co2: relaxed, PBE.

Summary:
* density of states at the Fermi level: 7.9 states/eV/f.u.
* energy: -88.83 eV per cell

Unit cell a=5.971 b=5.971 c=7.155 alpha=99.51 beta=99.51 gamma=59.36
Fractional coordinates of all 10 atoms:
Pu 0.116 0.884 0.750
Pu 0.884 0.116 0.250
Th 0.235 0.463 0.349
Th 0.463 0.235 0.849
Th 0.537 0.765 0.151
Th 0.765 0.537 0.651
Co 0.011 0.279 0.012
Co 0.279 0.011 0.512
Co 0.721 0.989 0.488
Co 0.989 0.721 0.988



LiPmCd4: relaxed, PBE.

Summary:
* density of states at the Fermi level: 3.6 states/eV/f.u.
* energy above the lowest structure with this stoichiometry: 3 meV/atom
* energy: -23.26 eV per cell

Unit cell a=5.068 b=6.891 c=8.391 alpha=90.00 beta=90.00 gamma=90.00
Fractional coordinates of all 12 atoms:
Li 0.000 0.000 0.000
Li 0.500 0.500 0.500
Pm 0.000 0.500 0.000
Pm 0.500 0.000 0.500
Cd 0.000 0.239 0.330
Cd 0.000 0.239 0.670
Cd 0.000 0.761 0.330
Cd 0.000 0.761 0.670
Cd 0.500 0.261 0.170
Cd 0.500 0.261 0.830
Cd 0.500 0.739 0.170
Cd 0.500 0.739 0.830



GdDyY2: relaxed, PBE.

Summary:
* density of states at the Fermi level: 6.9 states/eV/f.u.
* energy above the lowest structure with this stoichiometry: 0 meV/atom
* energy: -31.51 eV per cell

Unit cell a=5.046 b=5.046 c=5.045 alpha=90.00 beta=90.00 gamma=90.00
Fractional coordinates of all 4 atoms:
Gd 0.000 0.000 0.000
Dy 0.500 0.500 0.000
Y 0.000 0.500 0.500
Y 0.500 0.000 0.500



Pm5DySn5: relaxed, PBE.

Summary:
* density of states at the Fermi level: 9.0 states/eV/f.u.
* energy: -53.66 eV per cell

Unit cell a=8.554 b=8.554 c=7.444 alpha=103.26 beta=103.26 gamma=43.18
Fractional coordinates of all 11 atoms:
Pm 0.000 0.000 0.000
Pm 0.330 0.330 0.177
Pm 0.338 0.338 0.678
Pm 0.662 0.662 0.322
Pm 0.670 0.670 0.823
Dy 0.000 0.000 0.500
Sn 0.165 0.165 0.349
Sn 0.165 0.165 0.835
Sn 0.500 0.500 0.500
Sn 0.835 0.835 0.165
Sn 0.835 0.835 0.651